Entry from Alexandria: an optimized crystal structure of CdInHgSb (PBE-GGA).

Computed properties:
Mass density ... 8.55 Mg/m³
Total magnetic moment ... 0.000 μB per atom
DFT total energy ... -1.994 eV per atom
SG ... No. 216

a b c (Å): 5.324 5.324 5.324
angles (deg): 60.00 60.00 60.00
Atoms (fractional coordinates):
Cd1 0.000 0.000 0.000
In1 0.500 0.500 0.500
Hg1 0.750 0.750 0.750
Sb1 0.250 0.250 0.250